## P
5
Lattice="-4.261 -5.092 -0.528 5.133 -4.239 -0.539 0.075 -0.750 6.617" Properties=species:S:1:pos:R:3 comment="PBE-GGA SrMg2InI, optimized geometry" dos_at_fermi_per_ev_cell=2.499 m_tot_mub_per_cell=0.0 pbc="T T T"
I 0.474 -5.040 2.775
Sr 0.000 0.000 0.000
In 2.566 -2.120 -0.269
Mg -2.130 -2.546 -0.264
Mg 0.038 -0.375 3.309

## Q
5
Lattice="5.434 0.000 0.000 0.000 7.486 0.000 0.000 0.000 5.434" Properties=species:S:1:pos:R:3 comment="PBE-GGA SrMg2InI, optimized geometry" dos_at_fermi_per_ev_cell=2.230 m_tot_mub_per_cell=0.0 pbc="T T T"
Mg 0.000 0.000 2.717
Mg 2.717 0.000 0.000
Sr 2.717 3.743 2.717
I 0.000 3.743 0.000
In 0.000 0.000 0.000

Stability, lowest: P

## P
20
Lattice="-3.247 -2.432 6.661 6.291 -5.674 0.995 6.086 7.782 5.902" Properties=species:S:1:pos:R:3 comment="PBE-GGA MnIn3I6, optimized geometry" dos_at_fermi_per_ev_cell=5.877 m_tot_mub_per_cell=8.5 pbc="T T T"
Mn 4.565 -0.162 6.779
Mn 0.000 0.000 0.000
I 4.496 -5.034 3.144
I 4.981 -1.516 9.278
I 4.726 -5.884 8.295
I 2.465 1.481 7.918
I 6.665 -1.805 5.640
I 4.403 5.560 5.263
I 4.149 1.192 4.280
I 7.530 1.371 11.834
I 2.642 -2.168 6.103
I 1.600 -1.695 1.724
I 4.634 4.710 10.414
I 6.487 1.844 7.456
In 5.177 -1.588 2.360
In 3.952 1.264 11.198
In 3.043 3.891 2.951
In 1.522 -4.053 3.828
In 8.437 -0.573 8.933
In 0.693 0.249 4.625

## Q
20
Lattice="9.459 -0.178 -0.182 -0.383 9.453 -0.182 -0.383 -0.391 9.446" Properties=species:S:1:pos:R:3 comment="PBE-GGA MnIn3I6, optimized geometry" dos_at_fermi_per_ev_cell=8.881 m_tot_mub_per_cell=7.9 pbc="T T T"
I -0.146 8.410 6.562
I 3.775 5.094 7.272
I 8.838 0.474 2.521
I 6.376 -0.008 8.553
I 2.317 8.891 0.529
I 3.681 1.699 5.038
I 0.282 2.324 8.900
I 7.074 3.929 5.254
I 4.918 3.789 1.810
I 1.619 4.954 3.828
I 8.411 6.560 0.182
I 5.011 7.184 4.045
In 3.319 8.311 6.797
In 5.373 0.572 2.285
In 2.155 5.421 0.623
In 8.237 6.718 3.649
In 6.538 3.462 8.460
In 0.456 2.165 5.434
Mn 0.000 0.000 0.000
Mn 4.346 4.442 4.541

Stability, lowest: Q